## CdAg2 (meta-GGA SCAN)

Data for a crystal of CdAg2 relaxed with PBEsol.

Computed properties:
Calculated density ... 9.72 g/cm3
Formation energy ... 52 meV/atom
Energy above the lowest structure with this stoichiometry ... 0.105 eV/atom
Symmetry ... Fd-3m, No. 227
Size of the total moment ... 0.0 μB per formula unit
Uncorrected energy ... -30.998 eV/atom

Lattice parameters (Å, degrees): 5.4131 5.4131 5.4131 60.00 60.00 60.00
Last column: nearest neighbours and their distance in Å.
Fractional coordinates of all 6 atoms:
Cd  0.1250  0.1250  0.1250  12 Ag 3.17, 4 Cd 3.31
Cd  0.8750  0.8750  0.8750  12 Ag 3.17, 4 Cd 3.31
Ag  0.0000  0.5000  0.5000  6 Ag 2.71
Ag  0.5000  0.0000  0.5000  6 Ag 2.71
Ag  0.5000  0.5000  0.0000  6 Ag 2.71
Ag  0.5000  0.5000  0.5000  6 Ag 2.71